Entry from the Alexandria database: Re2PSe at its PBEsol-relaxed geometry (meta-GGA SCAN). Values from VASP.

```
&SYSTEM
  ibrav = 0, nat = 8, ntyp = 3
/
ATOMIC_SPECIES
Re 186.21 Re.upf
P 30.97 P.upf
Se 78.96 Se.upf
ATOMIC_POSITIONS crystal
Re 0.000 0.000 0.000
Re 0.227 0.000 0.601
Re 0.500 0.500 0.000
Re 0.727 0.500 0.601
P 0.209 0.500 0.953
P 0.709 0.000 0.953
Se 0.480 0.000 0.391
Se 0.980 0.500 0.391
CELL_PARAMETERS angstrom
8.094 0.000 0.000
0.000 3.075 0.000
-1.336 0.000 4.876
```

Results
The formation energy (no corrections) comes out at 131 meV per atom. The density is 13.2 Mg/m³. The energy above the most stable polymorph in this dataset comes out at 4.1 meV/atom. The total energy comes out at -43.037 eV per atom. As for the magnetization: 0.0 μB/cell.



Entry from the Alexandria database: CaZrCr at its PBEsol-relaxed geometry (meta-GGA SCAN). Values from VASP.

```
&SYSTEM
  ibrav = 0, nat = 3, ntyp = 3
/
ATOMIC_SPECIES
Ca 40.08 Ca.upf
Zr 91.22 Zr.upf
Cr 52.00 Cr.upf
ATOMIC_POSITIONS crystal
Ca 0.000 0.000 0.000
Zr 0.667 0.333 0.431
Cr 0.333 0.667 0.671
CELL_PARAMETERS angstrom
3.282 0.000 0.000
-1.641 2.842 0.000
0.000 0.000 6.975
```

Results
The density is 4.7 Mg/m³. The value obtained for the energy of formation from the pure elements is 0.67 eV per atom. The total energy comes out at -18.909 eV per atom. As for the magnetization: 3.4 μB/cell.



Entry from the Alexandria database: AgPt2 at its PBEsol-relaxed geometry (meta-GGA SCAN). Values from VASP.

```
&SYSTEM
  ibrav = 0, nat = 12, ntyp = 2
/
ATOMIC_SPECIES
Ag 107.87 Ag.upf
Pt 195.08 Pt.upf
ATOMIC_POSITIONS crystal
Ag 0.086 0.000 0.249
Ag 0.337 0.500 0.499
Ag 0.663 0.500 0.501
Ag 0.914 0.000 0.751
Pt 0.000 0.500 0.500
Pt 0.168 0.500 0.999
Pt 0.247 0.000 0.748
Pt 0.418 0.000 0.241
Pt 0.500 0.500 0.000
Pt 0.582 0.000 0.759
Pt 0.753 0.000 0.252
Pt 0.832 0.500 0.001
CELL_PARAMETERS angstrom
8.336 0.000 0.000
0.000 2.755 0.000
-2.911 0.000 8.030
```

Results
The density is 17.9 Mg/m³. The value obtained for the energy of formation from the pure elements is 0.04 eV per atom. The energy above the most stable polymorph in this dataset comes out at 45.1 meV/atom. The total energy comes out at -57.208 eV per atom. As for the magnetization: 0.0 μB/cell.



Entry from the Alexandria database: Al12Tc at its PBEsol-relaxed geometry (meta-GGA SCAN). Values from VASP.

```
&SYSTEM
  ibrav = 0, nat = 13, ntyp = 2
/
ATOMIC_SPECIES
Al 26.98 Al.upf
Tc 98.00 Tc.upf
ATOMIC_POSITIONS crystal
Al 0.120 0.813 0.308
Al 0.187 0.308 0.495
Al 0.187 0.692 0.880
Al 0.308 0.120 0.813
Al 0.308 0.495 0.187
Al 0.495 0.187 0.308
Al 0.505 0.813 0.692
Al 0.692 0.505 0.813
Al 0.692 0.880 0.187
Al 0.813 0.308 0.120
Al 0.813 0.692 0.505
Al 0.880 0.187 0.692
Tc 0.000 0.000 0.000
CELL_PARAMETERS angstrom
-3.741 3.741 3.741
3.741 -3.741 3.741
3.741 3.741 -3.741
```

Results
The density is 3.3 Mg/m³. The value obtained for the energy of formation from the pure elements is -0.19 eV per atom. The total energy comes out at -10.046 eV per atom. As for the magnetization: 0.0 μB/cell.



Entry from the Alexandria database: TiInAs2Br at its PBEsol-relaxed geometry (meta-GGA SCAN). Values from VASP.

```
&SYSTEM
  ibrav = 0, nat = 5, ntyp = 4
/
ATOMIC_SPECIES
Ti 47.87 Ti.upf
In 114.82 In.upf
As 74.92 As.upf
Br 79.90 Br.upf
ATOMIC_POSITIONS crystal
Ti 0.000 0.000 0.000
In 0.500 0.500 0.500
As 0.000 0.500 0.500
As 0.500 0.000 0.500
Br 0.500 0.500 0.000
CELL_PARAMETERS angstrom
5.084 0.000 0.000
0.000 5.084 0.000
0.000 0.000 5.320
```

Results
The formation energy (no corrections) comes out at 616 meV per atom. The density is 4.7 Mg/m³. The total energy comes out at -21.236 eV per atom. As for the magnetization: 1.3 μB/cell.



Entry from the Alexandria database: ZrBe2Sb at its PBEsol-relaxed geometry (meta-GGA SCAN). Values from VASP.

```
&SYSTEM
  ibrav = 0, nat = 16, ntyp = 3
/
ATOMIC_SPECIES
Zr 91.22 Zr.upf
Be 9.01 Be.upf
Sb 121.76 Sb.upf
ATOMIC_POSITIONS crystal
Zr 0.000 0.000 0.000
Zr 0.000 0.500 0.250
Zr 0.500 0.000 0.750
Zr 0.500 0.500 0.500
Be 0.225 0.750 0.625
Be 0.250 0.225 0.375
Be 0.250 0.275 0.875
Be 0.275 0.750 0.125
Be 0.725 0.250 0.125
Be 0.750 0.725 0.875
Be 0.750 0.775 0.375
Be 0.775 0.250 0.625
Sb 0.000 0.000 0.500
Sb 0.000 0.500 0.750
Sb 0.500 0.000 0.250
Sb 0.500 0.500 0.000
CELL_PARAMETERS angstrom
6.994 0.000 0.000
0.000 6.994 0.000
0.000 0.000 5.537
```

Results
The formation energy (no corrections) comes out at 276 meV per atom. The density is 5.7 Mg/m³. The total energy comes out at -18.890 eV per atom. As for the magnetization: 0.0 μB/cell.